{"formula": "Ho8ErBi6", "functional": "PBE", "state": "relaxed", "vol_a3_per_atom": 32.70, "magnetic_moment_mub_per_fu": 0.00, "energy_ev_per_cell": -71.80, "formation_enthalpy_0k_ev_per_atom": -0.4884, "sg": "R-3", "lattice": [[-6.332, 1.409, 3.949], [-3.438, -5.610, 3.793], [2.149, 0.653, 10.517]], "species": ["Ho", "Ho", "Ho", "Ho", "Ho", "Ho", "Ho", "Ho", "Er", "Bi", "Bi", "Bi", "Bi", "Bi", "Bi"], "frac_coords": [[0.545, 0.212, 0.364], [0.788, 0.122, 0.636], [0.122, 0.455, 0.636], [0.667, 0.667, 0.000], [0.333, 0.333, 0.000], [0.878, 0.545, 0.364], [0.212, 0.878, 0.364], [0.455, 0.788, 0.636], [0.000, 0.000, 0.000], [0.395, 0.062, 0.814], [0.938, 0.271, 0.186], [0.271, 0.605, 0.186], [0.729, 0.395, 0.814], [0.062, 0.729, 0.814], [0.605, 0.938, 0.186]]}